First-principles (PBE) data for a geometry-optimized ZrAlC3 structure, as listed in Alexandria. Values from VASP.

The structure in Quantum ESPRESSO input format:
```
&SYSTEM
  ibrav = 0, nat = 5, ntyp = 3
/
ATOMIC_SPECIES
C 12.01 C.upf
Al 26.98 Al.upf
Zr 91.22 Zr.upf
CELL_PARAMETERS angstrom
4.329 0.000 0.000
0.000 4.329 0.000
0.000 0.000 4.329
ATOMIC_POSITIONS crystal
C 0.000 0.000 0.500
C 0.000 0.500 0.000
C 0.500 0.000 0.000
Al 0.500 0.500 0.500
Zr 0.000 0.000 0.000
```

Energy above the lowest structure with this stoichiometry   0.7575 eV/atom
Energy of formation   2119.7 meV per atom

First-principles (PBE) data for a geometry-optimized CdIn2As structure, as listed in Alexandria. Values from VASP.

The structure in Quantum ESPRESSO input format:
```
&SYSTEM
  ibrav = 0, nat = 4, ntyp = 3
/
ATOMIC_SPECIES
As 74.92 As.upf
In 114.82 In.upf
Cd 112.41 Cd.upf
CELL_PARAMETERS angstrom
-3.542 -0.970 -1.719
-0.071 -2.531 1.576
-4.034 3.909 6.104
ATOMIC_POSITIONS crystal
As 0.000 0.501 0.505
In 0.500 0.501 0.263
In 0.000 0.999 0.989
Cd 0.500 0.500 0.743
```

Energy above the lowest structure with this stoichiometry   0.0589 eV/atom
Energy of formation   63.0 meV per atom

First-principles (PBE) data for a geometry-optimized PaZn2Ir structure, as listed in Alexandria. Values from VASP.

The structure in Quantum ESPRESSO input format:
```
&SYSTEM
  ibrav = 0, nat = 8, ntyp = 3
/
ATOMIC_SPECIES
Ir 192.22 Ir.upf
Zn 65.41 Zn.upf
Pa 231.04 Pa.upf
CELL_PARAMETERS angstrom
-2.137 3.508 -1.916
-2.499 -4.203 -1.324
-3.864 0.596 5.402
ATOMIC_POSITIONS crystal
Ir 0.119 0.369 0.750
Ir 0.881 0.631 0.250
Zn 0.413 0.736 0.053
Zn 0.413 0.736 0.447
Zn 0.587 0.264 0.553
Zn 0.587 0.264 0.947
Pa 0.952 0.827 0.750
Pa 0.048 0.173 0.250
```

Energy above the lowest structure with this stoichiometry   0.0000 eV/atom
Energy of formation   -467.6 meV per atom

First-principles (PBE) data for a geometry-optimized Ba2CuS3 structure, as listed in Alexandria. Values from VASP.

The structure in Quantum ESPRESSO input format:
```
&SYSTEM
  ibrav = 0, nat = 12, ntyp = 3
/
ATOMIC_SPECIES
S 32.06 S.upf
Ba 137.33 Ba.upf
Cu 63.55 Cu.upf
CELL_PARAMETERS angstrom
-5.601 2.779 -2.747
0.408 -6.127 -2.987
-1.743 -1.408 8.596
ATOMIC_POSITIONS crystal
S 0.775 0.454 0.229
S 0.546 0.225 0.771
S 0.842 0.842 0.684
S 0.454 0.775 0.229
S 0.158 0.158 0.316
S 0.225 0.546 0.771
Ba 0.250 0.750 0.500
Ba 0.261 0.261 0.000
Ba 0.750 0.250 0.500
Ba 0.739 0.739 0.000
Cu 0.704 0.704 0.408
Cu 0.296 0.296 0.592
```

ΔE_f (raw)   -1.341 eV/atom